Compound: Be2Ru
Source: Alexandria via LeMat-Bulk
Functional: GGA-PBE
Structure: relaxed

a = 4.464 Å, b = 4.464 Å, c = 4.464 Å
α = 134.13°, β = 104.96°, γ = 92.61°
Element x y z (fractional)
Be: 0.204 0.164 0.040
Be: 0.376 0.836 0.540
Be: 0.624 0.164 0.460
Be: 0.796 0.836 0.960
Ru: 0.214 0.464 0.750
Ru: 0.786 0.536 0.250

## Properties
- Symmetry: Imma (74)
- Crystal system: orthorhombic
- Energy of formation: -339 meV/atom
- Total magnetic moment: 0.00 μB per atom